VASP calculation (PBE) on a relaxed structure of Cs2In2As2Se.

Properties
As for the spin magnetization: 0.00 μB/cell. As for the space group: C2/m. Its density of states at the Fermi level is 2.17 states/eV/f.u. The value obtained for the raw total energy is -22.87 eV for the cell shown. The volume is 38.410 A^3/atom.

abc: 8.911 8.911 7.269
angles: 106.31 106.31 29.13
Fractional coordinates of all 7 atoms:
Cs1 0.130 0.130 0.316
Cs2 0.870 0.870 0.684
In1 0.396 0.396 0.225
In2 0.604 0.604 0.775
As1 0.237 0.237 0.904
As2 0.763 0.763 0.096
Se1 0.500 0.500 0.000